# TbHoInOs, relaxed, DFT PBE-GGA
# DOS at the Fermi energy ... 0.601 states/eV/atom
# E above lowest polymorph ... 0 meV per atom
# E_tot ... -6.156 eV/atom
# E_form ... -1.4 eV per formula unit
data_TbHoInOs
_symmetry_space_group_name_H-M 'P 4 m m'
_symmetry_Int_Tables_number 99
_cell_length_a 3.4273
_cell_length_b 3.4273
_cell_length_c 8.0310
_cell_angle_alpha 90.00
_cell_angle_beta 90.00
_cell_angle_gamma 90.00
loop_
_symmetry_equiv_pos_as_xyz
'x,y,z'
'-y,x,z'
'-x,-y,z'
'y,-x,z'
'-x,y,z'
'y,x,z'
'x,-y,z'
'-y,-x,z'
loop_
_atom_site_label
_atom_site_type_symbol
_atom_site_fract_x
_atom_site_fract_y
_atom_site_fract_z
Tb1 Tb 0.0000 0.0000 0.0000
Ho1 Ho 0.0000 0.0000 0.5881
In1 In 0.5000 0.5000 0.2971
Os1 Os 0.5000 0.5000 0.7912